5
Lattice="4.997 0.000 0.000 0.000 4.997 0.000 0.000 0.000 4.997" Properties=species:S:1:pos:R:3 comment="LaHf3Ir (PBE, relaxed)" de_polymorph_mev_per_atom=1881 e_form_mev_per_atom=1855 pbc="T T T"
La 0.000 0.000 0.000
Hf 0.000 0.000 2.499
Hf 0.000 2.499 0.000
Hf 2.499 0.000 0.000
Ir 2.499 2.499 2.499

---

10
Lattice="7.259 0.000 0.000 0.000 7.259 0.000 0.000 0.000 4.538" Properties=species:S:1:pos:R:3 comment="La2HfIr2 (PBE, relaxed)" e_form_mev_per_atom=-589 pbc="T T T"
La 1.203 2.427 0.000
La 2.427 6.056 0.000
La 4.832 1.203 0.000
La 6.056 4.832 0.000
Hf 0.000 0.000 2.269
Hf 3.629 3.629 2.269
Ir 1.072 4.701 2.269
Ir 2.558 1.072 2.269
Ir 4.701 6.187 2.269
Ir 6.187 2.558 2.269